[1]
Here is RbNa2Sn after structural relaxation from Alexandria via LeMat-Bulk. Energies are from PBE.

For the formation energy, the calculation gives 0.0141 eV/atom. The value obtained for the volume is 141 Å³/cell. The electronic total energy is -0.069 hartree per atom.

Lattice parameters (Å, degrees): 5.6855 5.6855 4.3540 90.00 90.00 90.00
Space group P4/mmm (No. 123)
Inequivalent atoms, fractional coordinates:
Rb: 0.0000 0.0000 0.0000 [1 per cell]
Na: 0.0000 0.5000 0.5000 [2 per cell]
Sn: 0.5000 0.5000 0.0000 [1 per cell]

---

[2]
Here is CaRePt after structural relaxation from Alexandria via LeMat-Bulk. Energies are from PBE.

For the formation energy, the calculation gives 0.2467 eV/atom. The calculation puts the polymorph energy (0 for the lowest one) at 0.143 eV per atom. The value obtained for the volume is 54 Å³/cell. The electronic total energy is -0.242 hartree per atom.

Lattice parameters (Å, degrees): 4.7478 4.7478 2.7813 90.00 90.00 120.00
Space group P-6m2 (No. 187)
Inequivalent atoms, fractional coordinates:
Ca: 0.0000 0.0000 0.0000 [1 per cell]
Re: 0.6667 0.3333 0.5000 [1 per cell]
Pt: 0.3333 0.6667 0.5000 [1 per cell]

---

[3]
Here is PmNd2Pt2 after structural relaxation from Alexandria via LeMat-Bulk. Energies are from PBE.

For the formation energy, the calculation gives -0.8343 eV/atom. The calculation puts the polymorph energy (0 for the lowest one) at 0.097 eV per atom. The value obtained for the volume is 566 Å³/cell. The electronic total energy is -0.224 hartree per atom.

Lattice parameters (Å, degrees): 8.3001 10.8087 6.3116 90.00 90.00 90.00
Space group Ibam (No. 72)
Inequivalent atoms, fractional coordinates:
Pm: 0.0000 0.0000 0.2500 [4 per cell]
Nd: 0.1354 0.3482 0.0000 [8 per cell]
Pt: 0.2232 0.3927 0.5000 [8 per cell]

---

[4]
Here is Ni2AgCl after structural relaxation from Alexandria via LeMat-Bulk. Energies are from PBE.

The calculation puts the polymorph energy (0 for the lowest one) at 0.439 eV per atom. Its uncorrected formation energy is 585 meV per atom. The value obtained for the volume is 61 Å³/cell. The electronic total energy is -0.128 hartree per atom.

Lattice parameters (Å, degrees): 2.9202 4.3394 4.7880 90.00 90.00 90.00
Space group Pmmm (No. 47)
Inequivalent atoms, fractional coordinates:
Ni: 0.0000 0.0000 0.0000 [1 per cell]
Ni: 0.5000 0.0000 0.5000 [1 per cell]
Ag: 0.0000 0.5000 0.5000 [1 per cell]
Cl: 0.5000 0.5000 0.0000 [1 per cell]

---

[5]
Here is MnIrRu after structural relaxation from Alexandria via LeMat-Bulk. Energies are from PBE.

For the formation energy, the calculation gives 0.0507 eV/atom. The calculation puts the polymorph energy (0 for the lowest one) at 0.105 eV per atom. The value obtained for the volume is 41 Å³/cell. The electronic total energy is -0.333 hartree per atom.

Lattice parameters (Å, degrees): 4.1986 4.1986 2.6759 90.00 90.00 120.00
Space group P-6m2 (No. 187)
Inequivalent atoms, fractional coordinates:
Mn: 0.0000 0.0000 0.0000 [1 per cell]
Ir: 0.3333 0.6667 0.5000 [1 per cell]
Ru: 0.6667 0.3333 0.0000 [1 per cell]

---

[6]
Here is ScTiCr after structural relaxation from Alexandria via LeMat-Bulk. Energies are from PBE.

For the formation energy, the calculation gives 0.1410 eV/atom. The calculation puts the polymorph energy (0 for the lowest one) at 0.011 eV per atom. The value obtained for the volume is 212 Å³/cell. The electronic total energy is -0.287 hartree per atom.

Lattice parameters (Å, degrees): 2.9238 2.9238 24.8450 90.00 90.00 90.00
Space group I4/mmm (No. 139)
Inequivalent atoms, fractional coordinates:
Sc: 0.0000 0.0000 0.0634 [4 per cell]
Ti: 0.0000 0.0000 0.3433 [4 per cell]
Cr: 0.0000 0.0000 0.2241 [4 per cell]